# RbB3Rh (GGA-PBE, relaxed)
# total magnetization	0.000	μB per atom
# theoretical density	4.4	g/cm³
# formation enthalpy at 0 K	3.69	eV per atom
# ΔE to the lowest computed polymorph	2.750	eV/atom
# calculated volume	16.705	Å³ per atom
data_RbB3Rh
_chemical_formula_sum 'Rb1 B3 Rh1'
_cell_length_a 4.371
_cell_length_b 4.371
_cell_length_c 4.371
_cell_angle_alpha 90.00
_cell_angle_beta 90.00
_cell_angle_gamma 90.00
_space_group_name_H-M_alt 'P m -3 m'
_space_group_IT_number 221
_space_group_name_Hall '-P 4 2 3'
loop_
_atom_site_label
_atom_site_fract_x
_atom_site_fract_y
_atom_site_fract_z
Rb1 0.000 0.000 0.000
B1 0.000 0.000 0.500
Rh1 0.500 0.500 0.500